Entry 1:
The following is a DFT calculation (GGA+U) of a relaxed structure of FeO2F.

a = 3.690 Å, b = 3.690 Å, c = 3.690 Å
α = 60.00°, β = 60.00°, γ = 60.00°
Last column: magnetic moment on the atom in μB.
Element x y z (fractional)
1 O 0.750 0.750 0.750  -0.42
2 F 0.000 0.000 0.000  -0.32
3 Fe 0.500 0.500 0.500  4.26
4 O 0.250 0.250 0.250  -0.42

Results
electronic total energy = -18.0 eV/cell
size of the total moment = 3.00 μB/cell

Entry 2:
The following is a DFT calculation (GGA+U) of a relaxed structure of FeOF.

a = 3.059 Å, b = 4.721 Å, c = 9.411 Å
α = 90.73°, β = 90.00°, γ = 90.00°
Last column: magnetic moment on the atom in μB.
Element x y z (fractional)
1 Fe 0.500 0.428 0.253  4.33
2 F 0.500 0.218 0.602  0.03
3 O 0.500 0.175 0.095  0.04
4 F 0.000 0.660 0.164  0.10
5 Fe 0.000 0.000 0.500  3.26
6 F 0.000 0.340 0.836  0.10
7 O 0.000 0.731 0.646  0.13
8 O 0.000 0.269 0.354  0.13
9 Fe 0.500 0.572 0.747  4.33
10 O 0.500 0.825 0.905  0.04
11 F 0.500 0.782 0.398  0.03
12 Fe 0.000 0.000 0.000  3.19

Results
electronic total energy = -70.6 eV/cell
size of the total moment = 15.99 μB/cell

Entry 3:
The following is a DFT calculation (GGA+U) of a relaxed structure of Fe3O5F.

a = 5.504 Å, b = 5.504 Å, c = 7.254 Å
α = 70.94°, β = 70.94°, γ = 70.42°
Last column: magnetic moment on the atom in μB.
Element x y z (fractional)
1 O 0.409 0.409 0.794  -0.09
2 F 0.059 0.059 0.132  0.10
3 Fe 0.500 0.500 0.000  2.79
4 O 0.477 0.862 0.837  -0.04
5 O 0.805 0.195 0.500  -0.02
6 O 0.722 0.722 0.459  0.06
7 O 0.523 0.138 0.163  -0.04
8 O 0.591 0.591 0.206  -0.09
9 F 0.941 0.941 0.868  0.10
10 O 0.278 0.278 0.541  0.06
11 O 0.862 0.477 0.837  -0.04
12 O 0.195 0.805 0.500  -0.02
13 Fe 0.817 0.817 0.169  4.22
14 Fe 0.183 0.183 0.831  4.22
15 Fe 0.824 0.824 0.652  4.14
16 O 0.138 0.523 0.163  -0.04
17 Fe 0.176 0.176 0.348  4.14
18 Fe 0.500 0.500 0.500  2.62

Results
relative energy among the computed polymorphs = 70 meV per atom
electronic total energy = -109.0 eV/cell
size of the total moment = 22.24 μB/cell

Entry 4:
The following is a DFT calculation (GGA+U) of a relaxed structure of Fe2OF3.

a = 7.353 Å, b = 7.353 Å, c = 6.902 Å
α = 90.00°, β = 90.00°, γ = 129.46°
Last column: magnetic moment on the atom in μB.
Element x y z (fractional)
1 O 0.903 0.097 0.000  0.34
2 O 0.097 0.903 0.000  0.34
3 F 0.852 0.148 0.500  0.04
4 O 0.340 0.660 0.500  -0.21
5 F 0.747 0.747 0.708  0.08
6 Fe 0.000 0.000 0.500  3.81
7 Fe 0.247 0.753 0.000  3.81
8 F 0.000 0.500 0.209  0.05
9 O 0.660 0.340 0.500  -0.21
10 F 0.148 0.852 0.500  0.04
11 Fe 0.753 0.247 0.000  3.81
12 F 0.000 0.500 0.791  0.05
13 F 0.500 0.000 0.791  0.05
14 F 0.500 0.000 0.209  0.05
15 Fe 0.000 0.500 0.500  3.29
16 Fe 0.500 0.000 0.500  3.29
17 F 0.253 0.253 0.292  0.08
18 Fe 0.773 0.773 0.000  4.38
19 Fe 0.500 0.500 0.500  3.71
20 F 0.405 0.595 0.000  0.08
21 F 0.747 0.747 0.292  0.08
22 F 0.253 0.253 0.708  0.08
23 Fe 0.227 0.227 0.000  4.38
24 F 0.595 0.405 0.000  0.08

Results
relative energy among the computed polymorphs = 89 meV per atom
electronic total energy = -136.6 eV/cell
size of the total moment = 31.99 μB/cell

Entry 5:
The following is a DFT calculation (GGA+U) of a relaxed structure of FeOF3.

a = 3.921 Å, b = 3.921 Å, c = 3.921 Å
α = 90.00°, β = 90.00°, γ = 90.00°
Last column: magnetic moment on the atom in μB.
Element x y z (fractional)
1 O 0.500 0.500 0.500  0.01
2 F 0.000 0.500 0.000  -0.14
3 F 0.500 0.000 0.000  -0.20
4 Fe 0.000 0.000 0.000  -4.53
5 F 0.000 0.000 0.500  -0.07

Results
electronic total energy = -21.3 eV/cell
size of the total moment = 4.99 μB/cell

Entry 6:
The following is a DFT calculation (GGA+U) of a relaxed structure of Fe4OF8.

a = 5.357 Å, b = 5.357 Å, c = 14.742 Å
α = 89.09°, β = 89.09°, γ = 59.45°
Last column: magnetic moment on the atom in μB.
Element x y z (fractional)
1 Fe 0.306 0.364 0.184  3.80
2 Fe 0.281 0.381 0.480  3.79
3 O 0.537 0.078 0.572  0.28
4 F 0.422 0.944 0.075  0.12
5 F 0.661 0.311 0.078  0.12
6 Fe 0.364 0.306 0.684  3.80
7 F 0.348 0.989 0.413  0.04
8 F 0.601 0.015 0.255  -0.01
9 Fe 0.381 0.281 0.980  3.79
10 F 0.357 0.664 0.257  -0.01
11 Fe 0.736 0.600 0.027  4.36
12 O 0.078 0.537 0.072  0.28
13 F 0.015 0.601 0.755  -0.01
14 F 0.311 0.661 0.578  0.12
15 F 0.906 0.695 0.418  0.05
16 Fe 0.703 0.627 0.825  1.12
17 F 0.989 0.348 0.913  0.04
18 F 0.695 0.906 0.918  0.05
19 Fe 0.627 0.703 0.325  1.12
20 F 0.447 0.610 0.919  0.04
21 F 0.610 0.447 0.419  0.04
22 F 0.664 0.357 0.757  -0.01
23 F 0.944 0.425 0.259  0.01
24 F 0.944 0.422 0.575  0.12
25 F 0.425 0.944 0.759  0.01
26 Fe 0.600 0.736 0.527  4.36

Results
electronic total energy = -138.1 eV/cell
size of the total moment = 28.00 μB/cell

Entry 7:
The following is a DFT calculation (GGA+U) of a relaxed structure of Fe2OF3.

a = 4.826 Å, b = 4.826 Å, c = 12.557 Å
α = 90.00°, β = 90.00°, γ = 92.33°
Last column: magnetic moment on the atom in μB.
Element x y z (fractional)
1 F 0.708 0.708 0.250  0.08
2 F 0.286 0.286 0.000  0.11
3 O 0.320 0.320 0.754  0.23
4 F 0.199 0.811 0.616  -0.02
5 O 0.664 0.664 0.000  0.31
6 Fe 0.481 0.481 0.374  4.08
7 F 0.199 0.811 0.384  -0.02
8 O 0.320 0.320 0.246  0.23
9 F 0.196 0.788 0.876  0.09
10 F 0.788 0.196 0.876  0.09
11 F 0.196 0.788 0.124  0.09
12 F 0.708 0.708 0.500  0.01
13 Fe 0.024 0.024 0.248  3.81
14 Fe 0.495 0.495 0.876  4.41
15 O 0.307 0.307 0.500  0.05
16 Fe 0.024 0.024 0.752  3.81
17 Fe 0.966 0.966 0.000  3.85
18 Fe 0.481 0.481 0.626  4.08
19 F 0.811 0.199 0.616  -0.02
20 F 0.708 0.708 0.750  0.08
21 Fe 0.495 0.495 0.124  4.41
22 F 0.811 0.199 0.384  -0.02
23 F 0.788 0.196 0.124  0.09
24 Fe 0.026 0.026 0.500  -4.36

Results
relative energy among the computed polymorphs = 25 meV per atom
electronic total energy = -138.2 eV/cell
size of the total moment = 26.00 μB/cell

Entry 8:
The following is a DFT calculation (GGA+U) of a relaxed structure of Fe3O5F.

a = 4.646 Å, b = 5.550 Å, c = 7.579 Å
α = 85.44°, β = 88.76°, γ = 87.33°
Last column: magnetic moment on the atom in μB.
Element x y z (fractional)
1 Fe 0.500 0.000 0.000  4.15
2 F 0.796 0.531 0.765  0.13
3 Fe 0.012 0.844 0.668  4.13
4 Fe 0.000 0.500 0.000  4.21
5 O 0.310 0.965 0.231  0.02
6 O 0.690 0.035 0.769  0.02
7 O 0.692 0.372 0.434  0.04
8 O 0.308 0.628 0.566  0.04
9 Fe 0.521 0.681 0.342  4.15
10 F 0.204 0.469 0.235  0.13
11 Fe 0.479 0.319 0.658  4.15
12 O 0.815 0.212 0.104  0.06
13 O 0.185 0.788 0.896  0.06
14 O 0.189 0.132 0.555  0.14
15 Fe 0.988 0.156 0.332  4.13
16 O 0.301 0.293 0.895  0.04
17 O 0.811 0.868 0.445  0.14
18 O 0.699 0.707 0.105  0.04

Results
relative energy among the computed polymorphs = 5 meV per atom
electronic total energy = -110.1 eV/cell
size of the total moment = 26.12 μB/cell

Entry 9:
The following is a DFT calculation (GGA+U) of a relaxed structure of Fe3O5F.

a = 4.611 Å, b = 5.491 Å, c = 7.550 Å
α = 85.37°, β = 88.36°, γ = 87.66°
Last column: magnetic moment on the atom in μB.
Element x y z (fractional)
1 O 0.700 0.203 0.102  -0.02
2 O 0.185 0.289 0.895  -0.16
3 O 0.697 0.538 0.766  -0.03
4 O 0.807 0.714 0.093  0.01
5 O 0.814 0.364 0.446  0.07
6 O 0.303 0.131 0.568  -0.02
7 F 0.193 0.965 0.229  0.06
8 Fe 0.517 0.177 0.340  4.17
9 F 0.193 0.627 0.567  0.06
10 Fe 0.496 0.497 0.997  4.15
11 O 0.308 0.462 0.232  0.05
12 O 0.302 0.799 0.897  -0.03
13 O 0.691 0.868 0.436  0.05
14 Fe 0.973 0.649 0.322  4.23
15 Fe 0.997 0.326 0.672  2.70
16 O 0.814 0.045 0.772  -0.19
17 Fe 0.515 0.845 0.673  4.12
18 Fe 0.995 0.003 0.993  2.70

Results
relative energy among the computed polymorphs = 70 meV per atom
electronic total energy = -109.0 eV/cell
size of the total moment = 22.09 μB/cell

Entry 10:
The following is a DFT calculation (GGA+U) of a relaxed structure of Fe2O3F.

a = 4.538 Å, b = 5.427 Å, c = 12.884 Å
α = 103.43°, β = 90.45°, γ = 90.64°
Last column: magnetic moment on the atom in μB.
Element x y z (fractional)
1 Fe 0.964 0.622 0.408  4.19
2 F 0.180 0.348 0.466  0.05
3 Fe 0.999 0.199 0.800  4.27
4 O 0.695 0.359 0.337  0.00
5 O 0.309 0.246 0.064  -0.23
6 O 0.302 0.846 0.459  -0.05
7 O 0.702 0.750 0.941  -0.28
8 O 0.310 0.040 0.257  -0.05
9 Fe 0.019 0.991 0.994  2.75
10 F 0.672 0.976 0.734  0.06
11 O 0.810 0.249 0.940  -0.11
12 Fe 0.527 0.495 0.008  2.67
13 Fe 0.507 0.295 0.199  1.10
14 O 0.693 0.165 0.540  -0.11
15 O 0.188 0.157 0.660  -0.01
16 Fe 0.516 0.091 0.393  4.21
17 O 0.821 0.853 0.330  0.03
18 F 0.321 0.424 0.869  0.06
19 O 0.809 0.463 0.740  -0.10
20 O 0.281 0.651 0.660  -0.24
21 F 0.817 0.056 0.136  -0.02
22 O 0.204 0.737 0.058  -0.28
23 O 0.187 0.931 0.858  -0.13
24 Fe 0.020 0.795 0.196  1.08
25 Fe 0.497 0.696 0.800  3.27
26 Fe 0.476 0.905 0.595  2.75
27 F 0.207 0.537 0.262  0.01
28 O 0.786 0.659 0.547  0.02
29 Fe 0.979 0.408 0.607  0.33
30 O 0.701 0.557 0.143  -0.21

Results
relative energy among the computed polymorphs = 307 meV per atom
electronic total energy = -174.2 eV/cell
size of the total moment = 25.01 μB/cell

Entry 11:
The following is a DFT calculation (GGA+U) of a relaxed structure of Fe5O2F8.

a = 4.777 Å, b = 4.777 Å, c = 15.808 Å
α = 89.97°, β = 89.97°, γ = 89.21°
Last column: magnetic moment on the atom in μB.
Element x y z (fractional)
1 Fe 0.992 0.008 0.000  -0.95
2 O 0.817 0.183 0.093  0.09
3 F 0.313 0.311 0.215  -0.03
4 Fe 0.484 0.495 0.692  -4.37
5 Fe 0.023 0.033 0.600  0.00
6 Fe 0.523 0.474 0.098  3.80
7 F 0.285 0.299 0.402  0.01
8 Fe 0.526 0.477 0.902  3.80
9 Fe 0.986 0.008 0.808  3.77
10 F 0.689 0.687 0.785  -0.03
11 O 0.817 0.183 0.907  0.09
12 F 0.693 0.689 0.212  -0.05
13 F 0.718 0.705 0.001  0.04
14 F 0.192 0.808 0.500  0.05
15 O 0.668 0.681 0.404  -0.03
16 Fe 0.505 0.516 0.308  -4.37
17 F 0.295 0.282 0.999  0.04
18 F 0.311 0.307 0.788  -0.05
19 F 0.796 0.204 0.500  0.04
20 F 0.202 0.813 0.700  -0.04
21 F 0.212 0.791 0.094  0.04
22 Fe 0.967 0.977 0.400  0.00
23 F 0.804 0.218 0.696  -0.04
24 F 0.701 0.715 0.598  0.01
25 O 0.319 0.332 0.596  -0.03
26 F 0.209 0.788 0.906  0.04
27 F 0.782 0.196 0.304  -0.04
28 F 0.187 0.798 0.300  -0.04
29 Fe 0.992 0.014 0.192  3.77
30 Fe 0.495 0.505 0.500  4.35

Results
relative energy among the computed polymorphs = 197 meV per atom
electronic total energy = -165.9 eV/cell
size of the total moment = 10.06 μB/cell

Entry 12:
The following is a DFT calculation (GGA+U) of a relaxed structure of Fe4O3F5.

a = 6.120 Å, b = 4.777 Å, c = 9.542 Å
α = 86.82°, β = 90.00°, γ = 90.00°
Last column: magnetic moment on the atom in μB.
Element x y z (fractional)
1 F 0.750 0.786 0.406  0.09
2 Fe 0.000 0.000 0.000  4.36
3 Fe 0.750 0.471 0.266  -0.93
4 Fe 0.500 0.000 0.000  4.36
5 F 0.486 0.319 0.843  0.05
6 Fe 0.500 0.000 0.500  4.36
7 Fe 0.250 0.529 0.734  -0.93
8 F 0.250 0.791 0.900  0.11
9 O 0.483 0.714 0.648  0.12
10 Fe 0.250 0.428 0.247  -1.83
11 O 0.250 0.160 0.086  0.26
12 Fe 0.750 0.572 0.753  -1.83
13 F 0.014 0.319 0.843  0.05
14 F 0.250 0.820 0.398  0.11
15 O 0.750 0.840 0.914  0.26
16 O 0.983 0.286 0.352  0.12
17 F 0.250 0.214 0.594  0.09
18 F 0.986 0.681 0.157  0.05
19 Fe 0.000 0.000 0.500  4.36
20 O 0.017 0.714 0.648  0.12
21 F 0.750 0.180 0.602  0.11
22 O 0.517 0.286 0.352  0.12
23 F 0.514 0.681 0.157  0.05
24 F 0.750 0.209 0.100  0.11

Results
relative energy among the computed polymorphs = 314 meV per atom
electronic total energy = -133.9 eV/cell
size of the total moment = 13.97 μB/cell

Entry 13:
The following is a DFT calculation (GGA+U) of a relaxed structure of Fe7O7F.

a = 3.538 Å, b = 3.538 Å, c = 17.366 Å
α = 90.00°, β = 90.00°, γ = 118.62°
Last column: magnetic moment on the atom in μB.
Element x y z (fractional)
1 O 0.293 0.707 0.380  0.08
2 Fe 0.688 0.312 0.611  2.41
3 O 0.667 0.333 0.737  0.04
4 O 0.667 0.333 0.263  0.04
5 Fe 0.665 0.335 0.870  -3.76
6 Fe 0.339 0.661 0.259  3.75
7 F 0.678 0.322 0.500  0.00
8 Fe 0.665 0.335 0.130  -3.76
9 Fe 0.688 0.312 0.389  2.41
10 Fe 0.339 0.661 0.741  3.75
11 Fe 0.335 0.665 0.000  -3.76
12 O 0.337 0.663 0.130  -0.08
13 O 0.687 0.313 0.000  -0.12
14 O 0.293 0.707 0.620  0.08
15 O 0.337 0.663 0.870  -0.08

Results
electronic total energy = -93.8 eV/cell
size of the total moment = 0.98 μB/cell

Entry 14:
The following is a DFT calculation (GGA+U) of a relaxed structure of Fe6O7F5.

a = 9.072 Å, b = 4.753 Å, c = 4.755 Å
α = 86.30°, β = 90.00°, γ = 90.00°
Last column: magnetic moment on the atom in μB.
Element x y z (fractional)
1 Fe 0.675 0.994 0.984  4.38
2 F 0.000 0.303 0.708  0.10
3 O 0.337 0.306 0.691  0.21
4 O 0.341 0.699 0.299  0.22
5 F 0.500 0.189 0.180  0.12
6 F 0.500 0.808 0.800  0.13
7 O 0.839 0.809 0.813  0.11
8 Fe 0.325 0.994 0.984  4.38
9 F 0.838 0.186 0.193  0.07
10 Fe 0.000 0.966 0.008  3.10
11 O 0.000 0.681 0.321  0.21
12 Fe 0.500 0.492 0.488  4.18
13 O 0.659 0.699 0.299  0.22
14 Fe 0.827 0.537 0.518  4.36
15 O 0.161 0.809 0.813  0.11
16 F 0.162 0.186 0.193  0.07
17 Fe 0.173 0.537 0.518  4.36
18 O 0.663 0.306 0.691  0.21

Results
relative energy among the computed polymorphs = 96 meV per atom
electronic total energy = -107.6 eV/cell
size of the total moment = 27.00 μB/cell

Entry 15:
The following is a DFT calculation (GGA+U) of a relaxed structure of FeO2F.

a = 5.124 Å, b = 5.005 Å, c = 5.124 Å
α = 114.88°, β = 58.47°, γ = 114.88°
Last column: magnetic moment on the atom in μB.
Element x y z (fractional)
1 F 0.206 0.250 0.294  0.05
2 O 0.119 0.615 0.936  -0.30
3 Fe 0.000 0.000 0.000  3.63
4 Fe 0.500 0.500 0.500  3.63
5 O 0.881 0.385 0.064  -0.30
6 F 0.794 0.750 0.706  0.05
7 O 0.436 0.115 0.619  -0.30
8 O 0.564 0.885 0.381  -0.30

Results
electronic total energy = -44.1 eV/cell
size of the total moment = 6.00 μB/cell

Entry 16:
The following is a DFT calculation (GGA+U) of a relaxed structure of Fe5O2F8.

a = 4.785 Å, b = 4.783 Å, c = 16.194 Å
α = 90.00°, β = 89.30°, γ = 90.00°
Last column: magnetic moment on the atom in μB.
Element x y z (fractional)
1 F 0.783 0.218 0.889  0.09
2 Fe 0.506 0.507 0.307  4.37
3 Fe 0.526 0.470 0.101  3.81
4 F 0.803 0.197 0.500  0.07
5 Fe 0.494 0.493 0.693  4.37
6 Fe 0.994 0.007 0.193  4.37
7 Fe 0.974 0.970 0.399  3.81
8 Fe 0.006 0.993 0.807  4.37
9 F 0.205 0.810 0.709  0.10
10 F 0.217 0.782 0.111  0.09
11 F 0.697 0.697 0.000  0.07
12 F 0.694 0.710 0.790  0.09
13 F 0.295 0.310 0.791  0.10
14 Fe 0.026 0.030 0.601  3.81
15 Fe 0.000 0.000 0.000  3.84
16 Fe 0.500 0.500 0.500  3.84
17 O 0.677 0.678 0.394  0.30
18 O 0.177 0.822 0.894  0.30
19 Fe 0.474 0.530 0.899  3.81
20 F 0.705 0.690 0.209  0.10
21 O 0.323 0.322 0.606  0.30
22 F 0.194 0.790 0.290  0.09
23 F 0.717 0.718 0.611  0.09
24 O 0.823 0.178 0.106  0.30
25 F 0.306 0.290 0.210  0.09
26 F 0.197 0.803 0.500  0.07
27 F 0.283 0.282 0.389  0.09
28 F 0.795 0.190 0.291  0.10
29 F 0.806 0.210 0.710  0.09
30 F 0.303 0.303 0.000  0.07

Results
relative energy among the computed polymorphs = 14 meV per atom
electronic total energy = -171.4 eV/cell
size of the total moment = 44.00 μB/cell